Computed, not measured: a geometry-optimized TaMo2F2 structure at the PBE+U level of DFT.

Computed properties:
As for the final energy: -5.560 eV/atom. The excess energy over the best structure of this formula in the dataset comes out at 3.94 eV/f.u. As for the total magnetization: 5.63 μB per formula unit.

Cell: 7.637 7.637 2.936 Å, 90.00 90.00 90.00°
Positions (direct):
Ta1 0.000 0.000 0.000
Ta2 0.500 0.500 0.000
Mo1 0.152 0.348 0.000
Mo2 0.348 0.848 0.000
Mo3 0.652 0.152 0.000
Mo4 0.848 0.652 0.000
F1 0.107 0.607 0.500
F2 0.393 0.107 0.500
F3 0.607 0.893 0.500
F4 0.893 0.393 0.500